Crystalline Zn2CrAg at its relaxed geometry, computed with PBE.

Mass density: 7.668 g cm⁻³
Calculated volume: 63 Å³/f.u.
SG: Pm, No. 6
ΔE_f: 177 meV per atom

POSCAR file:
```
Zn2CrAg
1.0
2.891 0.000 0.000
0.000 4.215 0.000
-1.396 0.000 5.166
Zn Cr Ag
2 1 1
Cartesian
0.000 0.000 0.000
0.004 2.107 1.425
0.043 2.107 4.167
1.455 0.000 2.529
```